# 1
{
  "formula": "MnSn3S",
  "functional": "GGA-PBE",
  "state": "relaxed",
  "sg": "Pm-3m",
  "dft_energy_ev_per_atom": -4.37,
  "cell": [[5.014, 0.000, 0.000], [0.000, 5.014, 0.000], [0.000, 0.000, 5.014]],
  "species": ["Sn", "Sn", "Sn", "Mn", "S"],
  "frac_coords": [[0.000, 0.500, 0.000], [0.000, 0.000, 0.500], [0.500, 0.000, 0.000], [0.500, 0.500, 0.500], [0.000, 0.000, 0.000]]
}

# 2
{
  "formula": "MnSnS2",
  "functional": "GGA-PBE",
  "state": "relaxed",
  "sg": "R3m",
  "dft_energy_ev_per_atom": -5.74,
  "cell": [[-0.778, 2.193, 2.497], [-3.052, 1.528, 0.040], [-4.130, -4.570, 5.060]],
  "species": ["Mn", "Sn", "S", "S"],
  "frac_coords": [[0.667, 0.667, 0.000], [0.498, 0.498, 0.505], [0.276, 0.276, 0.172], [0.059, 0.059, 0.823]]
}

# 3
{
  "formula": "Mn2SnS6",
  "functional": "GGA-PBE",
  "state": "relaxed",
  "sg": "C2/m",
  "dft_energy_ev_per_atom": -5.70,
  "cell": [[3.403, 0.000, -0.780], [-0.492, 7.691, -2.147], [0.036, -0.554, 7.975]],
  "species": ["S", "S", "S", "S", "S", "S", "Mn", "Mn", "Sn"],
  "frac_coords": [[0.324, 0.860, 0.647], [0.008, 0.237, 0.016], [0.676, 0.140, 0.353], [0.671, 0.536, 0.341], [0.992, 0.763, 0.984], [0.329, 0.464, 0.659], [0.171, 0.338, 0.343], [0.829, 0.662, 0.657], [0.500, 0.000, 0.000]]
}

E_form (uncorrected), respectively: 0.695; -0.383; -0.462 eV/atom.